The following is a PBE-GGA calculation of an optimized crystal structure of PmGaC, from Alexandria.

a = 7.547 Å, b = 4.058 Å, c = 7.714 Å
α = 90.00°, β = 105.51°, γ = 90.00°
Space group C2/m (No. 12)
Unique sites:
Pm (0.084, 0.000, 0.305) x4
Ga (0.167, 0.500, 0.018) x4
C (0.088, 0.500, 0.540) x4

=====

The following is a PBE-GGA calculation of an optimized crystal structure of Pm2GaC, from Alexandria.

a = 3.7360 Å, b = 3.7360 Å, c = 22.8965 Å
α = 90.00°, β = 90.00°, γ = 120.00°
Space group R-3m (No. 166, hexagonal axes)
Unique sites:
Pm (0.0000, 0.0000, 0.2289) x6
Ga (0.0000, 0.0000, 0.0000) x3
C (0.0000, 0.0000, 0.5000) x3

=====

The following is a PBE-GGA calculation of an optimized crystal structure of Pm2GaC, from Alexandria.

a = 3.6720 Å, b = 3.6720 Å, c = 7.9153 Å
α = 90.00°, β = 90.00°, γ = 120.00°
Space group P-6m2 (No. 187)
Unique sites:
Pm (0.0000, 0.0000, 0.1877) x2
Ga (0.3333, 0.6667, 0.5000) x1
C (0.6667, 0.3333, 0.0000) x1

=====

Calculated values (eV/atom) of E_tot for the records, taken in order: -6.093; -5.654; -5.443.
Calculated values (eV per atom) of energy of formation for the records, taken in order: -0.43; -0.22; -0.01.
Calculated values (meV/atom) of ΔE to the lowest computed polymorph for the records, taken in order: 0; 0; 211.